Record 1
Computed, not measured: a relaxed Nd3Sm2Mg2 crystal at the GGA-PBE level of DFT.

POSCAR file:
```
Nd3Sm2Mg2
1.0
1.9166 -15.6670 0.0000
1.9166 15.6670 0.0000
0.0000 0.0000 3.7390
Nd Sm Mg
3 2 2
Direct
0.0000 0.0000 0.0000
0.4187 0.5813 0.5000
0.5813 0.4187 0.5000
0.2950 0.7050 0.5000
0.7050 0.2950 0.5000
0.1439 0.8561 0.0000
0.8561 0.1439 0.0000
```

Computed properties:
**Magnetization**: 0.00 μB per cell
**Formation energy from the elements**: 0.25 eV/f.u.
**Electronic total energy**: -26.68 eV for the cell shown
**Mass density**: 5.8 g/cm3

=====

Record 2
Computed, not measured: a relaxed EuThAgHg crystal at the GGA-PBE level of DFT.

POSCAR file:
```
EuThAgHg
1.0
0.0000 3.8061 3.8061
3.8061 0.0000 3.8061
3.8061 3.8061 0.0000
Eu Th Ag Hg
1 1 1 1
Direct
0.0000 0.0000 0.0000
0.5000 0.5000 0.5000
0.2500 0.2500 0.2500
0.7500 0.7500 0.7500
```

Computed properties:
**Magnetization**: 7.16 μB per cell
**Formation energy from the elements**: -0.82 eV/f.u.
**Electronic total energy**: -21.67 eV for the cell shown
**Mass density**: 10.4 g/cm3

=====

Record 3
Computed, not measured: a relaxed LaAlGaNi crystal at the GGA-PBE level of DFT.

POSCAR file:
```
LaAlGaNi
1.0
2.0730 1.1968 5.5132
-2.0730 1.1968 5.5132
0.0000 -2.3937 5.5132
La Al Ga Ni
1 1 1 1
Direct
0.0000 0.0000 0.0000
0.7972 0.7972 0.7972
0.2068 0.2068 0.2068
0.4985 0.4985 0.4985
```

Computed properties:
**Magnetization**: 0.00 μB per cell
**Formation energy from the elements**: -2.18 eV/f.u.
**Electronic total energy**: -19.65 eV for the cell shown
**Mass density**: 6.0 g/cm3